Run a
## LiBePt (GGA-PBEsol)

Data for crystalline LiBePt at its relaxed geometry.

Unit cell a=2.752 b=3.867 c=6.626 alpha=90.00 beta=101.99 gamma=90.00
Element x y z (fractional)
1 Be 0.560 0.250 0.120
2 Pt 0.091 0.750 0.182
3 Pt 0.909 0.250 0.818
4 Li 0.773 0.750 0.546
5 Be 0.440 0.750 0.880
6 Li 0.227 0.250 0.454

Properties
* M_tot: 0.0 μB per cell



Run b
## LiBePt (GGA-PBEsol)

Data for crystalline LiBePt at its relaxed geometry.

Unit cell a=3.877 b=3.877 c=3.877 alpha=60.00 beta=60.00 gamma=60.00
Element x y z (fractional)
1 Li 0.500 0.500 0.500
2 Be 0.000 0.000 0.000
3 Pt 0.250 0.250 0.250

Properties
* M_tot: 0.0 μB per cell



Least stable: run b



Run a
## LiBeSbTe2 (GGA-PBEsol)

Data for crystalline LiBeSbTe2 at its relaxed geometry.

Unit cell a=4.793 b=5.015 c=5.015 alpha=90.00 beta=90.00 gamma=90.00
Element x y z (fractional)
1 Li 0.000 0.000 0.000
2 Te 0.000 0.500 0.000
3 Te 0.000 0.000 0.500
4 Sb 0.500 0.000 0.000
5 Be 0.500 0.500 0.500

Properties
* M_tot: 0.0 μB per cell



Run b
## LiBeSbTe2 (GGA-PBEsol)

Data for crystalline LiBeSbTe2 at its relaxed geometry.

Unit cell a=4.639 b=5.232 c=5.232 alpha=90.00 beta=90.00 gamma=90.00
Element x y z (fractional)
1 Be 0.000 0.000 0.000
2 Li 0.500 0.500 0.500
3 Sb 0.500 0.000 0.000
4 Te 0.000 0.000 0.500
5 Te 0.000 0.500 0.000

Properties
* M_tot: 0.0 μB per cell



Least stable: run a